ScGaFe3 after structural relaxation. Source: Alexandria via LeMat-Bulk, functional PBE.

a = 4.4429 Å, b = 4.4429 Å, c = 4.4429 Å
α = 90.00°, β = 90.00°, γ = 90.00°
Space group Pm-3m (No. 221)
Inequivalent atoms, fractional coordinates:
Sc 0.0000 0.0000 0.0000 [1 per cell]
Ga 0.5000 0.5000 0.5000 [1 per cell]
Fe 0.0000 0.0000 0.5000 [3 per cell]

Computed properties:
* E above lowest polymorph: 0.705 eV/atom